Material: Ac2ZnIn4Ag3
Method: DFT, PBE-GGA
State: relaxed

Calculated values
The calculation puts the energy of formation from the pure elements at -0.325 eV per atom. Its crystal system is tetragonal. The value obtained for the total energy is -3.22 eV/atom.

```
Ac2ZnIn4Ag3
1.0
4.740 0.000 0.000
0.000 4.740 0.000
0.000 0.000 11.449
Ac Zn In Ag
2 1 4 3
Cartesian
0.000 2.370 2.742 Ac
2.370 0.000 8.707 Ac
2.370 2.370 0.000 Zn
0.000 0.000 5.725 In
0.000 2.370 10.004 In
2.370 0.000 1.445 In
2.370 2.370 5.725 In
0.000 0.000 0.000 Ag
0.000 2.370 7.290 Ag
2.370 0.000 4.159 Ag
```